Entry 1:
Below is a crystal of BeGaReSn2 relaxed with PBEsol, with properties calculated at the SCAN level.

Computed properties:
The density comes out at 7.17 g/cm3. Its total energy is -160.81 eV/f.u. The total magnetic moment is 0.00 μB/atom.

The structure in POSCAR format:
```
BeGaReSn2
1.0
-4.018 -0.859 -1.786
2.105 -0.206 -4.635
0.807 -4.996 0.588
Be Ga Sn Re
1 1 2 1
direct
0.500 0.000 0.000
0.500 0.500 0.500
0.000 0.000 0.500
0.000 0.500 0.000
0.000 0.000 0.000
```

Entry 2:
Below is a crystal of Sr2BeGaRe relaxed with PBEsol, with properties calculated at the SCAN level.

Computed properties:
The density comes out at 5.21 g/cm3. Its total energy is -130.97 eV/f.u. The total magnetic moment is 0.54 μB/atom.

The structure in POSCAR format:
```
Sr2BeGaRe
1.0
-2.377 1.353 3.071
-0.044 -5.359 2.327
4.767 1.312 3.112
Re Sr Ga Be
1 2 1 1
direct
0.500 0.500 0.500
0.000 0.500 0.000
0.000 0.000 0.500
0.000 0.000 0.000
0.500 0.000 0.000
```

Entry 3:
Below is a crystal of BeGa2Rh2 relaxed with PBEsol, with properties calculated at the SCAN level.

Computed properties:
The density comes out at 8.76 g/cm3. Its total energy is -107.66 eV/f.u. The total magnetic moment is 0.00 μB/atom.

The structure in POSCAR format:
```
BeGa2Rh2
1.0
-1.590 -2.504 -2.425
4.621 0.603 -3.653
2.769 -4.440 2.770
Be Ga Rh
2 4 4
direct
0.000 0.500 0.500
0.000 0.000 0.000
0.500 0.343 0.157
0.500 0.657 0.843
0.500 0.843 0.343
0.500 0.157 0.657
0.000 0.342 0.842
0.000 0.158 0.342
0.000 0.842 0.658
0.000 0.658 0.158
```